# CuGeIO2 PBE relaxed
data_CuGeIO2
_chemical_formula_sum 'Cu1 Ge1 I1 O2'
_symmetry_space_group_name_H-M 'P 1'
_symmetry_Int_Tables_number 1
_cell_length_a 3.695
_cell_length_b 3.695
_cell_length_c 6.617
_cell_angle_alpha 90.00
_cell_angle_beta 90.00
_cell_angle_gamma 90.00
loop_
_symmetry_equiv_pos_as_xyz
'x,y,z'
loop_
_atom_site_label
_atom_site_fract_x
_atom_site_fract_y
_atom_site_fract_z
_atom_site_occupancy
Cu1 0.000 0.000 0.000 1
Ge1 0.500 0.500 0.500 1
I1 0.500 0.500 0.000 1
O1 0.000 0.500 0.500 1
O2 0.500 0.000 0.500 1
# Energy (eV per atom): -4.419
# ΔE_f (raw) (meV per atom): -383
# N(E_F) (states/eV per cell): 1.5
# Volume (Å³ per atom): 18.1